Record 1
! KSi3Ru PBE-GGA optimized geometry; values from VASP
&SYSTEM
  ibrav = 0, nat = 5, ntyp = 3
/
ATOMIC_SPECIES
K 39.10 K.upf
Si 28.09 Si.upf
Ru 101.07 Ru.upf
CELL_PARAMETERS angstrom
5.004 0.000 0.000
0.000 5.004 0.000
0.000 0.000 5.004
ATOMIC_POSITIONS crystal
K 0.000 0.000 0.000
Si 0.000 0.000 0.500
Si 0.000 0.500 0.000
Si 0.500 0.000 0.000
Ru 0.500 0.500 0.500
! - energy above the most stable polymorph in this dataset (meV/atom) = 2337.7
! - symmetry = No. 221
! - raw formation energy (meV/atom) = 2688

=====

Record 2
! KSi2Ru PBE-GGA optimized geometry; values from VASP
&SYSTEM
  ibrav = 0, nat = 4, ntyp = 3
/
ATOMIC_SPECIES
K 39.10 K.upf
Si 28.09 Si.upf
Ru 101.07 Ru.upf
CELL_PARAMETERS angstrom
1.551 0.896 9.172
-1.551 0.896 9.172
0.000 -1.791 9.172
ATOMIC_POSITIONS crystal
K 0.000 0.000 0.000
Si 0.229 0.229 0.229
Si 0.771 0.771 0.771
Ru 0.500 0.500 0.500
! - energy above the most stable polymorph in this dataset (meV/atom) = 212.9
! - symmetry = No. 166
! - raw formation energy (meV/atom) = 113

=====

Record 3
! KSi2Ru PBE-GGA optimized geometry; values from VASP
&SYSTEM
  ibrav = 0, nat = 8, ntyp = 3
/
ATOMIC_SPECIES
K 39.10 K.upf
Si 28.09 Si.upf
Ru 101.07 Ru.upf
CELL_PARAMETERS angstrom
-2.958 2.958 6.702
2.958 -2.958 6.702
2.958 2.958 -6.702
ATOMIC_POSITIONS crystal
K 0.375 0.625 0.750
K 0.625 0.375 0.250
Si 0.000 0.000 0.000
Si 0.000 0.000 0.500
Si 0.000 0.500 0.000
Si 0.500 0.000 0.500
Ru 0.125 0.875 0.250
Ru 0.875 0.125 0.750
! - energy above the most stable polymorph in this dataset (meV/atom) = 62.5
! - symmetry = No. 141
! - raw formation energy (meV/atom) = -38

=====

Record 4
! KSi2Ru PBE-GGA optimized geometry; values from VASP
&SYSTEM
  ibrav = 0, nat = 4, ntyp = 3
/
ATOMIC_SPECIES
K 39.10 K.upf
Si 28.09 Si.upf
Ru 101.07 Ru.upf
CELL_PARAMETERS angstrom
-1.444 2.674 4.974
1.444 -2.674 4.974
1.444 2.674 -4.974
ATOMIC_POSITIONS crystal
K 0.000 0.000 0.000
Si 0.482 0.482 0.000
Si 0.699 0.199 0.500
Ru 0.299 0.799 0.500
! - energy above the most stable polymorph in this dataset (meV/atom) = 686.0
! - symmetry = No. 44
! - raw formation energy (meV/atom) = 586

=====

Record 5
! KSiRu2 PBE-GGA optimized geometry; values from VASP
&SYSTEM
  ibrav = 0, nat = 4, ntyp = 3
/
ATOMIC_SPECIES
K 39.10 K.upf
Si 28.09 Si.upf
Ru 101.07 Ru.upf
CELL_PARAMETERS angstrom
4.227 -1.451 0.000
4.227 1.451 0.000
-0.779 0.000 6.930
ATOMIC_POSITIONS crystal
K 0.000 0.000 0.000
Si 0.765 0.765 0.345
Ru 0.233 0.233 0.620
Ru 0.491 0.491 0.501
! - symmetry = No. 8
! - raw formation energy (meV/atom) = 343

=====

Record 6
! KSi3Ru PBE-GGA optimized geometry; values from VASP
&SYSTEM
  ibrav = 0, nat = 5, ntyp = 3
/
ATOMIC_SPECIES
K 39.10 K.upf
Si 28.09 Si.upf
Ru 101.07 Ru.upf
CELL_PARAMETERS angstrom
4.750 0.000 0.000
0.000 4.750 0.000
0.000 0.000 4.750
ATOMIC_POSITIONS crystal
K 0.000 0.000 0.000
Si 0.000 0.500 0.500
Si 0.500 0.000 0.500
Si 0.500 0.500 0.000
Ru 0.500 0.500 0.500
! - energy above the most stable polymorph in this dataset (meV/atom) = 0.0
! - symmetry = No. 221
! - raw formation energy (meV/atom) = 350

=====

What is the raw formation energy in the first record?
2688 meV/atom

=====

Which value of raw formation energy does entry 1 give?
2688 meV/atom